La4SiHCl2 PBE-GGA optimized geometry; DOS(E_F) = 0.834 states/eV/atom; crystal system = monoclinic; VASP energy = -40.68 eV for the cell shown
1.0
7.099 0.000 0.000
0.000 4.213 0.000
-2.371 0.000 6.861
La Si H Cl
4 1 1 2
direct
0.242 0.000 0.237 La
0.243 0.500 0.769 La
0.757 0.500 0.231 La
0.758 0.000 0.763 La
0.500 0.000 0.000 Si
0.000 0.500 0.000 H
0.000 0.000 0.500 Cl
0.500 0.500 0.500 Cl


SiNiS PBE-GGA optimized geometry; formation energy without anion corrections = -153 meV per atom; DOS(E_F) = 0.290 states/eV/atom; crystal system = orthorhombic
1.0
3.038 0.000 0.000
0.000 3.265 0.000
0.000 0.000 4.327
Si Ni S
1 1 1
direct
0.000 0.000 0.000 Si
0.500 0.500 0.753 Ni
0.500 0.000 0.381 S


Ac2Si5Tc PBE-GGA optimized geometry; formation energy without anion corrections = -424 meV per atom; DOS(E_F) = 0.477 states/eV/atom; crystal system = tetragonal
1.0
-3.022 3.022 4.743
3.022 -3.022 4.743
3.022 3.022 -4.743
Ac Si Tc
2 5 1
direct
0.000 0.500 0.500 Ac
0.500 0.000 0.500 Ac
0.042 0.042 0.583 Si
0.042 0.459 0.000 Si
0.057 0.057 0.000 Si
0.459 0.042 0.000 Si
0.459 0.459 0.417 Si
0.797 0.797 0.000 Tc


CdInO2F PBE-GGA optimized geometry; formation energy without anion corrections = -1186 meV per atom; DOS(E_F) = 0.195 states/eV/atom; crystal system = tetragonal
1.0
4.204 0.000 0.000
0.000 4.204 0.000
0.000 0.000 4.164
Cd In O F
1 1 2 1
direct
0.000 0.000 0.000 Cd
0.500 0.500 0.500 In
0.000 0.500 0.500 O
0.500 0.000 0.500 O
0.500 0.500 0.000 F


Al12Fe5Co3 PBE-GGA optimized geometry; ΔH_f (0 K) = 43.2 kJ/mol of atoms; DOS(E_F) = 0.722 states/eV/atom; crystal system = cubic
1.0
-7.047 7.047 7.047
7.047 -7.047 7.047
7.047 7.047 -7.047
Al Fe Co
48 20 12
direct
0.067 0.230 0.137 Al
0.067 0.338 0.931 Al
0.069 0.637 0.407 Al
0.069 0.933 0.662 Al
0.093 0.730 0.662 Al
0.093 0.863 0.431 Al
0.137 0.067 0.230 Al
0.137 0.569 0.907 Al
0.162 0.230 0.593 Al
0.162 0.433 0.569 Al
0.230 0.137 0.067 Al
0.230 0.593 0.162 Al
0.270 0.338 0.907 Al
0.270 0.433 0.363 Al
0.338 0.907 0.270 Al
0.338 0.931 0.067 Al
0.363 0.270 0.433 Al
0.363 0.593 0.931 Al
0.407 0.069 0.637 Al
0.407 0.838 0.770 Al
0.431 0.093 0.863 Al
0.431 0.838 0.567 Al
0.433 0.363 0.270 Al
0.433 0.569 0.162 Al
0.567 0.431 0.838 Al
0.567 0.637 0.730 Al
0.569 0.162 0.433 Al
0.569 0.907 0.137 Al
0.593 0.162 0.230 Al
0.593 0.931 0.363 Al
0.637 0.407 0.069 Al
0.637 0.730 0.567 Al
0.662 0.069 0.933 Al
0.662 0.093 0.730 Al
0.730 0.567 0.637 Al
0.730 0.662 0.093 Al
0.770 0.407 0.838 Al
0.770 0.863 0.933 Al
0.838 0.567 0.431 Al
0.838 0.770 0.407 Al
0.863 0.431 0.093 Al
0.863 0.933 0.770 Al
0.907 0.137 0.569 Al
0.907 0.270 0.338 Al
0.931 0.067 0.338 Al
0.931 0.363 0.593 Al
0.933 0.662 0.069 Al
0.933 0.770 0.863 Al
0.000 0.000 0.000 Fe
0.000 0.000 0.500 Fe
0.000 0.500 0.000 Fe
0.000 0.500 0.500 Fe
0.125 0.750 0.875 Fe
0.125 0.875 0.250 Fe
0.250 0.125 0.875 Fe
0.250 0.625 0.375 Fe
0.375 0.250 0.625 Fe
0.375 0.625 0.750 Fe
0.500 0.000 0.000 Fe
0.500 0.000 0.500 Fe
0.500 0.500 0.000 Fe
0.500 0.500 0.500 Fe
0.625 0.375 0.250 Fe
0.625 0.750 0.375 Fe
0.750 0.375 0.625 Fe
0.750 0.875 0.125 Fe
0.875 0.125 0.750 Fe
0.875 0.250 0.125 Fe
0.125 0.250 0.375 Co
0.125 0.375 0.750 Co
0.250 0.375 0.125 Co
0.250 0.875 0.625 Co
0.375 0.125 0.250 Co
0.375 0.750 0.125 Co
0.625 0.250 0.875 Co
0.625 0.875 0.750 Co
0.750 0.125 0.375 Co
0.750 0.625 0.875 Co
0.875 0.625 0.250 Co
0.875 0.750 0.625 Co


SrTcSb2Te PBE-GGA optimized geometry; formation energy without anion corrections = 1731 meV per atom; DOS(E_F) = 1.656 states/eV/atom; crystal system = tetragonal
1.0
5.903 0.000 0.000
0.000 5.903 0.000
0.000 0.000 5.886
Sr Tc Sb Te
1 1 2 1
direct
0.000 0.000 0.000 Sr
0.500 0.500 0.500 Tc
0.000 0.500 0.000 Sb
0.500 0.000 0.000 Sb
0.000 0.000 0.500 Te


Ba3Sb4 PBE-GGA optimized geometry; formation energy without anion corrections = -460 meV per atom; DOS(E_F) = 0.921 states/eV/atom; crystal system = tetragonal
1.0
-2.131 2.131 15.490
2.131 -2.131 15.490
2.131 2.131 -15.490
Ba Sb
3 4
direct
0.000 0.000 0.000 Ba
0.312 0.312 0.000 Ba
0.688 0.688 0.000 Ba
0.111 0.111 0.000 Sb
0.421 0.421 0.000 Sb
0.579 0.579 0.000 Sb
0.889 0.889 0.000 Sb


TmNpRh6 PBE-GGA optimized geometry; ΔH_f (0 K) = -50.6 kJ/mol of atoms; DOS(E_F) = 1.455 states/eV/atom; crystal system = tetragonal
1.0
4.021 0.000 0.000
0.000 4.021 0.000
0.000 0.000 8.011
Tm Np Rh
1 1 6
direct
0.000 0.000 0.000 Tm
0.000 0.000 0.500 Np
0.000 0.500 0.259 Rh
0.000 0.500 0.741 Rh
0.500 0.000 0.259 Rh
0.500 0.000 0.741 Rh
0.500 0.500 0.000 Rh
0.500 0.500 0.500 Rh


AlCr2N2 PBE-GGA optimized geometry; formation energy without anion corrections = 577 meV per atom; DOS(E_F) = 0.654 states/eV/atom; crystal system = tetragonal
1.0
6.207 0.000 0.000
0.000 6.207 0.000
0.000 0.000 2.595
Al Cr N
2 4 4
direct
0.000 0.000 0.000 Al
0.500 0.500 0.000 Al
0.134 0.366 0.000 Cr
0.366 0.866 0.000 Cr
0.634 0.134 0.000 Cr
0.866 0.634 0.000 Cr
0.134 0.634 0.500 N
0.366 0.134 0.500 N
0.634 0.866 0.500 N
0.866 0.366 0.500 N


DyHoAsS PBE-GGA optimized geometry; formation energy without anion corrections = -1793 meV per atom; DOS(E_F) = 0.236 states/eV/atom; crystal system = tetragonal
1.0
4.006 0.000 0.000
0.000 4.006 0.000
0.000 0.000 5.672
Dy Ho As S
1 1 1 1
direct
0.000 0.000 0.000 Dy
0.500 0.500 0.500 Ho
0.000 0.000 0.500 As
0.500 0.500 0.000 S


ZrScIr PBE-GGA optimized geometry; ΔH_f (0 K) = -55.1 kJ/mol of atoms; DOS(E_F) = 1.393 states/eV/atom; crystal system = tetragonal
1.0
-1.656 1.656 5.292
1.656 -1.656 5.292
1.656 1.656 -5.292
Zr Sc Ir
1 1 1
direct
0.000 0.000 0.000 Zr
0.301 0.301 0.000 Sc
0.649 0.649 0.000 Ir


Tb2SmDyTm5 PBE-GGA optimized geometry; ΔH_f (0 K) = 27.7 kJ/mol of atoms; DOS(E_F) = 1.178 states/eV/atom; crystal system = tetragonal
1.0
-4.381 4.381 7.394
4.381 -4.381 7.394
4.381 4.381 -7.394
Tb Sm Dy Tm
4 2 2 10
direct
0.114 0.614 0.728 Tb
0.386 0.114 0.500 Tb
0.614 0.886 0.500 Tb
0.886 0.386 0.272 Tb
0.250 0.250 0.000 Sm
0.750 0.750 0.000 Sm
0.250 0.750 0.500 Dy
0.750 0.250 0.500 Dy
0.000 0.000 0.000 Tm
0.072 0.159 0.500 Tm
0.159 0.659 0.087 Tm
0.341 0.428 0.500 Tm
0.428 0.928 0.087 Tm
0.500 0.500 0.000 Tm
0.572 0.072 0.913 Tm
0.659 0.572 0.500 Tm
0.841 0.341 0.913 Tm
0.928 0.841 0.500 Tm


TbYMgCo PBE-GGA optimized geometry; ΔH_f (0 K) = -12.3 kJ/mol of atoms; DOS(E_F) = 0.843 states/eV/atom; crystal system = tetragonal
1.0
3.422 0.000 0.000
0.000 3.422 0.000
0.000 0.000 8.057
Tb Y Mg Co
1 1 1 1
direct
0.000 0.000 0.000 Tb
0.000 0.000 0.596 Y
0.500 0.500 0.300 Mg
0.500 0.500 0.799 Co


CdInSN2 PBE-GGA optimized geometry; formation energy without anion corrections = 1466 meV per atom; DOS(E_F) = 0.426 states/eV/atom; crystal system = tetragonal
1.0
4.277 0.000 0.000
0.000 4.277 0.000
0.000 0.000 5.603
Cd In S N
1 1 1 2
direct
0.000 0.000 0.000 Cd
0.500 0.500 0.500 In
0.000 0.000 0.500 S
0.000 0.500 0.000 N
0.500 0.000 0.000 N


Na4Ti PBE-GGA optimized geometry; ΔH_f (0 K) = 84.2 kJ/mol of atoms; DOS(E_F) = 1.869 states/eV/atom; crystal system = cubic
1.0
6.094 0.000 0.000
0.000 6.094 0.000
0.000 0.000 6.094
Na Ti
4 1
direct
0.000 0.000 0.000 Na
0.000 0.500 0.500 Na
0.500 0.000 0.500 Na
0.500 0.500 0.000 Na
0.500 0.500 0.500 Ti


PrHo3Pu2Se6 PBE-GGA optimized geometry; formation energy without anion corrections = -1704 meV per atom; DOS(E_F) = 1.573 states/eV/atom; crystal system = monoclinic
1.0
3.551 -6.159 0.000
3.551 6.159 0.000
-2.372 0.000 6.786
Pr Ho Pu Se
1 3 2 6
direct
0.000 0.000 0.000 Pr
0.164 0.836 0.500 Ho
0.500 0.500 0.500 Ho
0.836 0.164 0.500 Ho
0.333 0.667 0.000 Pu
0.667 0.333 0.000 Pu
0.087 0.427 0.261 Se
0.253 0.253 0.740 Se
0.427 0.087 0.261 Se
0.573 0.913 0.739 Se
0.747 0.747 0.260 Se
0.913 0.573 0.739 Se


RbZrTaRu2 PBE-GGA optimized geometry; ΔH_f (0 K) = 164.5 kJ/mol of atoms; DOS(E_F) = 1.230 states/eV/atom; crystal system = tetragonal
1.0
4.789 0.000 0.000
0.000 4.789 0.000
0.000 0.000 5.236
Rb Zr Ta Ru
1 1 1 2
direct
0.000 0.000 0.000 Rb
0.500 0.500 0.000 Zr
0.000 0.000 0.500 Ta
0.000 0.500 0.500 Ru
0.500 0.000 0.500 Ru